1.
The following is a PBE calculation of AgP2Au after structural relaxation, from the Alexandria database.

a b c (Å): 5.078 5.078 5.078
angles (deg): 133.19 133.19 68.35
Positions (direct):
P 0.000 0.000 0.000
P 0.500 0.500 0.000
Ag 0.250 0.750 0.500
Au 0.750 0.250 0.500

Values from the calculation:
SG ... No. 139
D(E_F) ... 1.37 states/eV per cell
Relative energy among the computed polymorphs ... 387 meV/atom
Spin magnetization ... 0.0 μB per cell
Energy ... -3.74 eV/atom
Formation energy from the elements ... 496 meV/atom

---

2.
The following is a PBE calculation of Ag2PAu after structural relaxation, from the Alexandria database.

a b c (Å): 5.514 5.514 5.514
angles (deg): 145.94 130.17 61.74
Positions (direct):
Au 0.471 0.471 0.000
Ag 0.027 0.027 0.000
Ag 0.738 0.238 0.500
P 0.264 0.764 0.500

Values from the calculation:
SG ... No. 44
D(E_F) ... 0.81 states/eV per cell
Spin magnetization ... 0.0 μB per cell
Energy ... -3.39 eV/atom
Formation energy from the elements ... 203 meV/atom

---

3.
The following is a PBE calculation of AgPAu2 after structural relaxation, from the Alexandria database.

a b c (Å): 4.226 4.203 3.934
angles (deg): 90.00 90.00 90.00
Positions (direct):
Au 0.500 0.500 0.000
Au 0.000 0.000 0.000
P 0.500 0.000 0.500
Ag 0.000 0.500 0.500

Values from the calculation:
SG ... No. 47
D(E_F) ... 1.85 states/eV per cell
Spin magnetization ... 0.0 μB per cell
Energy ... -3.45 eV/atom
Formation energy from the elements ... 251 meV/atom

---

4.
The following is a PBE calculation of AgPAu3 after structural relaxation, from the Alexandria database.

a b c (Å): 4.724 4.724 4.724
angles (deg): 90.00 90.00 90.00
Positions (direct):
Au 0.000 0.000 0.500
Au 0.500 0.000 0.000
Au 0.000 0.500 0.000
Ag 0.500 0.500 0.500
P 0.000 0.000 0.000

Values from the calculation:
SG ... No. 221
D(E_F) ... 2.35 states/eV per cell
Relative energy among the computed polymorphs ... 0 meV/atom
Spin magnetization ... 0.0 μB per cell
Energy ... -3.35 eV/atom
Formation energy from the elements ... 269 meV/atom

---

5.
The following is a PBE calculation of AgP2Au after structural relaxation, from the Alexandria database.

a b c (Å): 4.615 4.615 4.615
angles (deg): 60.00 60.00 60.00
Positions (direct):
P 0.250 0.250 0.250
P 0.000 0.000 0.000
Au 0.750 0.750 0.750
Ag 0.500 0.500 0.500

Values from the calculation:
SG ... No. 216
D(E_F) ... 1.99 states/eV per cell
Relative energy among the computed polymorphs ... 474 meV/atom
Spin magnetization ... 0.0 μB per cell
Energy ... -3.65 eV/atom
Formation energy from the elements ... 583 meV/atom

---

6.
The following is a PBE calculation of AgPAu2 after structural relaxation, from the Alexandria database.

a b c (Å): 5.698 5.698 2.889
angles (deg): 76.00 76.00 120.08
Positions (direct):
Au 0.000 0.000 0.000
Au 0.500 0.500 0.000
P 0.500 0.000 0.500
Ag 0.000 0.500 0.500

Values from the calculation:
SG ... No. 12
D(E_F) ... 1.46 states/eV per cell
Spin magnetization ... 0.0 μB per cell
Energy ... -3.44 eV/atom
Formation energy from the elements ... 265 meV/atom

---

7.
The following is a PBE calculation of AgPAu2 after structural relaxation, from the Alexandria database.

a b c (Å): 2.950 2.950 8.020
angles (deg): 90.00 90.00 89.85
Positions (direct):
Au 0.000 0.000 0.013
Au 0.000 0.000 0.487
P 0.500 0.500 0.250
Ag 0.500 0.500 0.750

Values from the calculation:
SG ... No. 65
D(E_F) ... 1.34 states/eV per cell
Spin magnetization ... 0.0 μB per cell
Energy ... -3.48 eV/atom
Formation energy from the elements ... 227 meV/atom

---

8.
The following is a PBE calculation of Ag2PAu after structural relaxation, from the Alexandria database.

a b c (Å): 8.935 8.935 8.935
angles (deg): 19.55 19.55 19.55
Positions (direct):
Au 0.250 0.250 0.250
Ag 0.495 0.495 0.495
Ag 0.005 0.005 0.005
P 0.750 0.750 0.750

Values from the calculation:
SG ... No. 166
D(E_F) ... 0.85 states/eV per cell
Spin magnetization ... 0.0 μB per cell
Energy ... -3.38 eV/atom
Formation energy from the elements ... 218 meV/atom

---

For each record above, in turn, the calculated theoretical density values are 8909 10377 12660 11497 8763 12463 12680 10550 kg/m3.